The following is a DFT calculation (PBE) of crystalline NaLiHg2Au at its relaxed geometry.

Output
Size of the total moment, μB/cell: 0.000
Energy, eV/atom: -1.55
Energy of formation from the pure elements, eV/atom: -0.1293
E above lowest polymorph, eV/f.u.: 0.00

Lattice parameters (Å, degrees): 5.3993 5.3993 4.8846 90.00 90.00 90.00
Space group P4/mmm (No. 123)
One atom of each set of equivalent atoms:
Na1 0.0000 0.0000 0.0000 x1
Li1 0.5000 0.5000 0.0000 x1
Hg1 0.0000 0.5000 0.5000 x2
Au1 0.5000 0.5000 0.5000 x1

***

The following is a DFT calculation (PBE) of crystalline Li3Ac2Pt2 at its relaxed geometry.

Output
Size of the total moment, μB/cell: 0.000
Energy, eV/atom: -4.36
Energy of formation from the pure elements, eV/atom: -0.6389

Lattice parameters (Å, degrees): 10.8362 4.3253 7.6733 90.00 113.58 90.00
Space group C2/m (No. 12)
One atom of each set of equivalent atoms:
Li1 0.0000 0.0000 0.0000 x2
Li2 0.1589 0.0000 0.4286 x4
Ac1 0.1313 0.5000 0.7807 x4
Pt1 0.1596 0.5000 0.1990 x4

***

The following is a DFT calculation (PBE) of crystalline Li2TaRu at its relaxed geometry.

Output
Size of the total moment, μB/cell: 0.000
Energy, eV/atom: -5.85
Energy of formation from the pure elements, eV/atom: 0.3905
E above lowest polymorph, eV/f.u.: 1.21

Lattice parameters (Å, degrees): 3.2938 3.2938 5.0668 90.00 90.00 90.00
Space group P4/mmm (No. 123)
One atom of each set of equivalent atoms:
Li1 0.0000 0.0000 0.2192 x2
Ta1 0.5000 0.5000 0.5000 x1
Ru1 0.5000 0.5000 0.0000 x1

***

The following is a DFT calculation (PBE) of crystalline Cr2GaICl at its relaxed geometry.

Output
Size of the total moment, μB/cell: 9.000
Formation energy without anion corrections, eV/atom: 0.529
Energy, eV/atom: -4.61

Lattice parameters (Å, degrees): 4.6944 4.6944 7.0168 90.00 90.00 90.00
Space group P4/mmm (No. 123)
One atom of each set of equivalent atoms:
Cr1 0.0000 0.5000 0.0000 x2
Ga1 0.0000 0.0000 0.5000 x1
I1 0.5000 0.5000 0.5000 x1
Cl1 0.5000 0.5000 0.0000 x1

***

The following is a DFT calculation (PBE) of crystalline HfIn2I6 at its relaxed geometry.

Output
Size of the total moment, μB/cell: 0.000
Formation energy without anion corrections, eV/atom: -0.724
Energy, eV/atom: -3.47

Lattice parameters (Å, degrees): 7.8751 8.8345 13.3576 90.00 123.76 90.00
Space group P2_1/c (No. 14)
One atom of each set of equivalent atoms:
Hf1 0.0000 0.0000 0.0000 x2
In1 0.2971 0.1089 0.7711 x4
I1 0.1367 0.0244 0.2472 x4
I2 0.2214 0.7232 0.0525 x4
I3 0.3481 0.1706 0.0481 x4

***

The following is a DFT calculation (PBE) of crystalline TlCdS2N at its relaxed geometry.

Output
Size of the total moment, μB/cell: 3.496
Formation energy without anion corrections, eV/atom: 0.902
Energy, eV/atom: -3.07
E above lowest polymorph, eV/f.u.: 0.00

Lattice parameters (Å, degrees): 5.2426 5.2426 4.3526 90.00 90.00 90.00
Space group P4/mmm (No. 123)
One atom of each set of equivalent atoms:
Tl1 0.0000 0.0000 0.0000 x1
Cd1 0.5000 0.5000 0.5000 x1
S1 0.0000 0.5000 0.5000 x2
N1 0.5000 0.5000 0.0000 x1

***

The following is a DFT calculation (PBE) of crystalline NdCd3Hg3 at its relaxed geometry.

Output
Size of the total moment, μB/cell: 0.007
Energy, eV/atom: -1.11
Energy of formation from the pure elements, eV/atom: 0.0947
E above lowest polymorph, eV/f.u.: 1.69

Lattice parameters (Å, degrees): 6.0313 6.0313 6.0313 90.00 90.00 90.00
Space group Pm-3m (No. 221)
One atom of each set of equivalent atoms:
Nd1 0.0000 0.0000 0.0000 x1
Cd1 0.0000 0.5000 0.5000 x3
Hg1 0.0000 0.0000 0.5000 x3

***

The following is a DFT calculation (PBE) of crystalline Ca8Tl2Ni at its relaxed geometry.

Output
Size of the total moment, μB/cell: 0.000
Energy, eV/atom: -2.61
Energy of formation from the pure elements, eV/atom: -0.1945

Lattice parameters (Å, degrees): 18.6383 5.4951 7.2313 90.00 108.43 90.00
Space group C2/m (No. 12)
One atom of each set of equivalent atoms:
Ca1 0.0221 0.0000 0.2907 x4
Ca2 0.0936 0.5000 0.9210 x4
Ca3 0.1493 0.5000 0.4522 x4
Ca4 0.2063 0.0000 0.7908 x4
Tl1 0.1819 0.0000 0.2113 x4
Ni1 0.0000 0.5000 0.5000 x2